#i
{
  "formula": "Dy7Y2",
  "functional": "GGA-PBE",
  "state": "relaxed",
  "volume_a3_per_fu": 284.23,
  "space_group": "No. 162",
  "total_magnetization_mub_per_atom": 0.000,
  "cell": [[6.146, 0.000, 0.000], [-3.073, 5.323, 0.000], [0.000, 0.000, 8.689]],
  "species": ["Dy", "Dy", "Dy", "Dy", "Dy", "Dy", "Dy", "Y", "Y"],
  "frac_coords": [[0.000, 0.000, 0.000], [0.000, 0.333, 0.666], [0.000, 0.667, 0.334], [0.333, 0.000, 0.666], [0.333, 0.333, 0.334], [0.667, 0.000, 0.334], [0.667, 0.667, 0.666], [0.333, 0.667, 0.000], [0.667, 0.333, 0.000]]
}


#ii
{
  "formula": "Dy7Y2",
  "functional": "GGA-PBE",
  "state": "relaxed",
  "volume_a3_per_fu": 286.68,
  "space_group": "No. 189",
  "total_magnetization_mub_per_atom": 0.094,
  "cell": [[9.677, 0.000, 0.000], [-4.839, 8.381, 0.000], [0.000, 0.000, 3.535]],
  "species": ["Dy", "Dy", "Dy", "Dy", "Dy", "Dy", "Dy", "Y", "Y"],
  "frac_coords": [[0.000, 0.000, 0.000], [0.000, 0.303, 0.500], [0.000, 0.639, 0.000], [0.303, 0.000, 0.500], [0.361, 0.361, 0.000], [0.639, 0.000, 0.000], [0.697, 0.697, 0.500], [0.333, 0.667, 0.500], [0.667, 0.333, 0.500]]
}


Computed stability ranking, most favorable first: #i, #ii


#i
{
  "formula": "DyY5",
  "functional": "GGA-PBE",
  "state": "relaxed",
  "volume_a3_per_fu": 192.52,
  "space_group": "No. 123",
  "total_magnetization_mub_per_atom": 0.000,
  "cell": [[3.567, 0.000, 0.000], [0.000, 3.567, 0.000], [0.000, 0.000, 15.128]],
  "species": ["Dy", "Y", "Y", "Y", "Y", "Y"],
  "frac_coords": [[0.000, 0.000, 0.000], [0.000, 0.000, 0.333], [0.000, 0.000, 0.667], [0.500, 0.500, 0.165], [0.500, 0.500, 0.500], [0.500, 0.500, 0.835]]
}


#ii
{
  "formula": "DyY5",
  "functional": "GGA-PBE",
  "state": "relaxed",
  "volume_a3_per_fu": 194.97,
  "space_group": "No. 65",
  "total_magnetization_mub_per_atom": 0.000,
  "cell": [[2.908, -8.944, 0.000], [2.908, 8.944, 0.000], [0.000, 0.000, 3.748]],
  "species": ["Dy", "Y", "Y", "Y", "Y", "Y"],
  "frac_coords": [[0.000, 0.000, 0.000], [0.154, 0.846, 0.500], [0.321, 0.679, 0.000], [0.500, 0.500, 0.500], [0.679, 0.321, 0.000], [0.846, 0.154, 0.500]]
}


Computed stability ranking, most favorable first: #i, #ii


#i
{
  "formula": "Dy3Y4",
  "functional": "GGA-PBE",
  "state": "relaxed",
  "volume_a3_per_fu": 223.07,
  "space_group": "No. 71",
  "total_magnetization_mub_per_atom": 0.000,
  "cell": [[-1.777, 2.518, 12.465], [1.777, -2.518, 12.465], [1.777, 2.518, -12.465]],
  "species": ["Dy", "Dy", "Dy", "Y", "Y", "Y", "Y"],
  "frac_coords": [[0.000, 0.000, 0.000], [0.143, 0.143, 0.000], [0.857, 0.857, 0.000], [0.286, 0.286, 0.000], [0.429, 0.429, 0.000], [0.571, 0.571, 0.000], [0.714, 0.714, 0.000]]
}


#ii
{
  "formula": "Dy3Y4",
  "functional": "GGA-PBE",
  "state": "relaxed",
  "volume_a3_per_fu": 225.75,
  "space_group": "No. 12",
  "total_magnetization_mub_per_atom": 0.000,
  "cell": [[4.736, -2.949, 0.000], [4.736, 2.949, 0.000], [-4.061, 0.000, 8.082]],
  "species": ["Dy", "Dy", "Dy", "Y", "Y", "Y", "Y"],
  "frac_coords": [[0.000, 0.000, 0.000], [0.428, 0.428, 0.285], [0.572, 0.572, 0.715], [0.143, 0.143, 0.428], [0.286, 0.286, 0.857], [0.714, 0.714, 0.143], [0.857, 0.857, 0.572]]
}


Computed stability ranking, most favorable first: #i, #ii